[1]
A plane-wave DFT calculation with GGA-PBE was carried out for Sm2AsO after structural relaxation.

Geometry as extended XYZ:
```
4
Lattice="-2.6208 -0.4244 -2.6947 -1.1070 -3.4668 -1.0326 -6.1485 -1.1446 3.5049" Properties=species:S:1:pos:R:3 pbc="T T T"
O -5.0081 -2.5158 -0.0436
Sm -2.5223 -1.2573 -0.0041
Sm -4.8191 -1.1860 2.2184
As -8.6135 -3.7394 1.0004
```

DOS at the Fermi energy, states/eV/atom: 0.617
Electronic total energy, eV per atom: -6.549


[2]
A plane-wave DFT calculation with GGA-PBE was carried out for BaTlTeF after structural relaxation.

Geometry as extended XYZ:
```
8
Lattice="-0.2887 0.3105 4.7070 0.7161 -4.6582 0.3512 11.0231 1.7370 0.5616" Properties=species:S:1:pos:R:3 pbc="T T T"
Te 7.8460 1.4144 2.7606
Te 3.3908 -1.8512 0.3301
F 0.0000 0.0000 0.0000
F 0.2137 -2.1739 2.5291
Ba 1.2014 0.3673 2.4220
Ba 10.0354 -0.8042 0.6687
Tl 5.7252 -1.3053 2.8099
Tl 5.5115 0.8685 0.2808
```

Electronic total energy, eV per atom: -4.264


[3]
A plane-wave DFT calculation with GGA-PBE was carried out for FeIr3Pd after structural relaxation.

Geometry as extended XYZ:
```
5
Lattice="-4.0810 0.3761 -1.6640 1.4527 -1.4959 -3.9008 -0.8945 -4.1455 1.2567" Properties=species:S:1:pos:R:3 pbc="T T T"
Ir -0.4472 -2.0728 0.6283
Ir -2.0405 0.1881 -0.8320
Ir 0.7264 -0.7480 -1.9504
Fe 0.0000 0.0000 0.0000
Pd -1.7614 -2.6327 -2.1541
```

DOS at the Fermi energy, states/eV/atom: 1.903
Energy of formation, meV/atom: 1432


[4]
A plane-wave DFT calculation with GGA-PBE was carried out for Be2AuCl after structural relaxation.

Geometry as extended XYZ:
```
4
Lattice="5.0922 -0.0450 0.0098 0.3201 5.0824 -0.0098 -1.1314 -4.2106 2.6312" Properties=species:S:1:pos:R:3 pbc="T T T"
Be 0.0178 0.0166 0.0000
Be 2.6883 2.5021 0.0000
Au 3.3335 -0.8685 1.3205
Cl 0.9474 1.6952 1.3107
```

DOS at the Fermi energy, states/eV/atom: 0.359
Electronic total energy, eV per atom: -2.891


[5]
A plane-wave DFT calculation with GGA-PBE was carried out for SmDy2Sc after structural relaxation.

Geometry as extended XYZ:
```
4
Lattice="-2.5161 -1.2900 2.0727 0.7917 -1.1294 3.2231 -2.5094 9.5766 5.8788" Properties=species:S:1:pos:R:3 pbc="T T T"
Sc 0.0000 0.0000 0.0000
Sm -2.1169 3.5786 5.5873
Dy -1.0364 1.6708 2.7467
Dy -3.1974 5.4864 8.4280
```

DOS at the Fermi energy, states/eV/atom: 1.480
Energy of formation, meV/atom: 46


[6]
A plane-wave DFT calculation with GGA-PBE was carried out for CeTl2HgCl6 after structural relaxation.

Geometry as extended XYZ:
```
10
Lattice="8.0024 0.0022 0.0021 4.0031 6.9274 0.0014 4.0032 2.3105 7.0449" Properties=species:S:1:pos:R:3 pbc="T T T"
Cl 6.2120 2.2912 1.5708
Cl 6.8821 7.3328 1.5714
Cl 5.9127 4.4650 5.5546
Cl 8.9164 6.5094 5.5539
Cl 9.1864 2.8857 5.5556
Cl 10.9164 4.2363 1.5724
Tl 4.0041 2.3113 7.0299
Tl 8.0039 4.6189 2.9939
Ce 4.0019 2.3098 0.1212
Hg 12.0057 6.9302 3.8241
```

Electronic total energy, eV per atom: -3.605


[7]
A plane-wave DFT calculation with GGA-PBE was carried out for NaPr2O4 after structural relaxation.

Geometry as extended XYZ:
```
14
Lattice="-5.5651 -1.0244 2.9678 1.3562 -4.7967 -3.9975 4.4608 0.4934 4.5482" Properties=species:S:1:pos:R:3 pbc="T T T"
Na 0.0000 0.0000 0.0000
Na -2.3805 -3.0433 1.3642
O -1.3575 -3.4955 3.9332
O 1.4601 -1.9040 0.6017
O 2.2268 -4.2890 -1.3831
O -2.2970 -4.2568 -1.1599
O 2.6982 -0.9990 3.6620
O -0.0808 -3.9208 1.1184
O -0.0701 -1.6006 5.1417
O -1.5720 -0.8451 2.1600
Pr 0.4320 -2.1160 2.8074
Pr -2.5829 -1.1654 4.3605
Pr 2.5587 -4.2951 1.0370
Pr 0.0960 -3.0790 -1.1679
```

DOS at the Fermi energy, states/eV/atom: 0.373
Electronic total energy, eV per atom: -6.935


[8]
A plane-wave DFT calculation with GGA-PBE was carried out for Ta2CuIr after structural relaxation.

Geometry as extended XYZ:
```
4
Lattice="4.4696 0.0000 0.0000 2.2348 3.8708 0.0000 2.2348 1.2903 3.6494" Properties=species:S:1:pos:R:3 pbc="T T T"
Ta 0.0000 0.0000 0.0000
Ta 6.7045 3.8708 2.7371
Cu 4.4696 2.5805 1.8247
Ir 2.2348 1.2903 0.9124
```

DOS at the Fermi energy, states/eV/atom: 1.579
Energy of formation, meV/atom: 1